# 1
The following is a DFT calculation (PBE) of Ba2SrCu2 after structural relaxation.

Output
formation energy: 96 kJ/mol of formula units
density of states at the Fermi level: 6.65 states/eV/f.u.

a = 9.4259 Å, b = 9.4259 Å, c = 3.7690 Å
α = 90.00°, β = 90.00°, γ = 90.00°
Last column: nearest neighbours and their distance in Å.
Positions (direct):
Sr 0.0000 0.0000 0.0000  4 Ba 3.67, 2 Sr 3.77, 8 Cu 4.00
Sr 0.5000 0.5000 0.0000  4 Ba 3.67, 2 Sr 3.77, 8 Cu 4.00
Ba 0.3645 0.8645 0.0000  6 Cu 3.27-3.40, 1 Ba 3.61
Ba 0.8645 0.6355 0.0000  6 Cu 3.27-3.40, 1 Ba 3.61
Ba 0.6355 0.1355 0.0000  6 Cu 3.27-3.40, 1 Ba 3.61
Ba 0.1355 0.3645 0.0000  6 Cu 3.27-3.40, 1 Ba 3.61
Cu 0.1638 0.6638 0.5000  6 Ba 3.27-3.40
Cu 0.6638 0.8362 0.5000  6 Ba 3.27-3.40
Cu 0.8362 0.3362 0.5000  6 Ba 3.27-3.40
Cu 0.3362 0.1638 0.5000  6 Ba 3.27-3.40

---

# 2
The following is a DFT calculation (PBE) of Tb5NdEr after structural relaxation.

Output
formation energy: 721 kJ/mol of formula units
density of states at the Fermi level: 8.80 states/eV/f.u.

a = 5.7846 Å, b = 7.9175 Å, c = 7.9175 Å
α = 66.09°, β = 68.57°, γ = 68.57°
Last column: nearest neighbours and their distance in Å.
Positions (direct):
Tb 0.5000 0.1772 0.8228  1 Nd 2.79, 1 Tb 3.06
Tb 0.5000 0.8228 0.1772  1 Nd 2.79, 1 Tb 3.06
Tb 0.7457 0.2543 0.2543  1 Nd 2.94, 1 Er 3.04
Tb 0.2543 0.7457 0.7457  1 Nd 2.94, 1 Er 3.04
Tb 0.0000 0.5000 0.5000  2 Nd 2.89
Nd 0.5000 0.5000 0.5000  6 Tb 2.79-2.94
Er 0.0000 0.0000 0.0000  6 Tb 3.04-3.27

---

# 3
The following is a DFT calculation (PBE) of La2AlAgPd6 after structural relaxation.

Output
formation energy: -527 kJ/mol of formula units
density of states at the Fermi level: 4.51 states/eV/f.u.

a = 5.6980 Å, b = 8.5303 Å, c = 8.5205 Å
α = 38.89°, β = 70.82°, γ = 90.11°
Last column: nearest neighbours and their distance in Å.
Positions (direct):
La 0.2727 0.7189 0.4410  6 Pd 2.96-3.01
La 0.7273 0.2811 0.5590  6 Pd 2.96-3.01
Al 0.5000 0.5000 0.0000  6 Pd 2.44
Ag 0.0000 0.0000 0.0000  6 Pd 2.70-2.71
Pd 0.2663 0.7473 0.9842  1 Al 2.44, 1 Ag 2.70
Pd 0.7797 0.7443 0.9732  1 Al 2.44, 1 Ag 2.71
Pd 0.2674 0.2390 0.4873  1 Al 2.44, 1 Ag 2.70
Pd 0.7337 0.2527 0.0158  1 Al 2.44, 1 Ag 2.70
Pd 0.2203 0.2557 0.0268  1 Al 2.44, 1 Ag 2.71
Pd 0.7326 0.7610 0.5127  1 Al 2.44, 1 Ag 2.70

---

# 4
The following is a DFT calculation (PBE) of CsTlBr3 after structural relaxation.

Output
density of states at the Fermi level: 0.00 states/eV/f.u.
formation energy from raw total energies: -0.925 eV per atom

a = 7.3525 Å, b = 7.3525 Å, c = 7.3525 Å
α = 81.24°, β = 81.24°, γ = 81.24°
Last column: nearest neighbours and their distance in Å.
Positions (direct):
Cs 0.7977 0.7977 0.7977  6 Br 3.62-3.82
Tl 0.0839 0.0839 0.0839  3 Br 2.77
Br 0.8488 0.2958 0.8488  1 Tl 2.77
Br 0.2958 0.8488 0.8488  1 Tl 2.77
Br 0.8488 0.8488 0.2958  1 Tl 2.77

---

# 5
The following is a DFT calculation (PBE) of SrIn5Cu after structural relaxation.

Output
formation energy: -107 kJ/mol of formula units
density of states at the Fermi level: 4.71 states/eV/f.u.

a = 4.8156 Å, b = 4.8156 Å, c = 7.8044 Å
α = 90.00°, β = 90.00°, γ = 90.00°
Last column: nearest neighbours and their distance in Å.
Positions (direct):
Sr 0.0000 0.0000 0.0000  12 In 3.40-3.41
In 0.5000 0.0000 0.6932  2 Cu 2.84, 1 In 3.02
In 0.0000 0.5000 0.6932  2 Cu 2.84, 1 In 3.02
In 0.5000 0.5000 0.0000  8 In 3.40, 4 Sr 3.41
In 0.0000 0.5000 0.3068  2 Cu 2.84, 1 In 3.02
In 0.5000 0.0000 0.3068  2 Cu 2.84, 1 In 3.02
Cu 0.0000 0.0000 0.5000  8 In 2.84

---

# 6
The following is a DFT calculation (PBE) of Tb3Pm2Er6Tm after structural relaxation.

Output
formation energy: 21 kJ/mol of formula units
density of states at the Fermi level: 15.16 states/eV/f.u.

a = 6.1327 Å, b = 6.1327 Å, c = 11.7154 Å
α = 94.99°, β = 94.99°, γ = 119.96°
Last column: nearest neighbours and their distance in Å.
Positions (direct):
Tb 0.1665 0.8335 0.5000  6 Er 3.52-3.53, 6 Tb 3.54
Tb 0.8335 0.1665 0.5000  6 Er 3.52-3.53, 6 Tb 3.54
Tb 0.5000 0.5000 0.5000  6 Er 3.52-3.53, 6 Tb 3.54
Pm 0.3335 0.6666 0.0000  3 Pm 3.54, 3 Tm 3.54, 6 Er 3.54-3.55
Pm 0.6666 0.3335 0.0000  3 Pm 3.54, 3 Tm 3.54, 6 Er 3.54-3.55
Er 0.9159 0.5833 0.7490  3 Tb 3.52-3.53, 6 Er 3.53-3.55, 1 Tm 3.54, 2 Pm 3.54-3.55
Er 0.7518 0.7518 0.2513  3 Tb 3.52-3.53, 6 Er 3.53-3.55, 1 Tm 3.54, 2 Pm 3.55
Er 0.0841 0.4167 0.2510  3 Tb 3.52-3.53, 6 Er 3.53-3.55, 1 Tm 3.54, 2 Pm 3.54-3.55
Er 0.5833 0.9159 0.7490  3 Tb 3.52-3.53, 6 Er 3.53-3.55, 1 Tm 3.54, 2 Pm 3.54-3.55
Er 0.2482 0.2482 0.7487  3 Tb 3.52-3.53, 6 Er 3.53-3.55, 1 Tm 3.54, 2 Pm 3.55
Er 0.4167 0.0841 0.2510  3 Tb 3.52-3.53, 6 Er 3.53-3.55, 1 Tm 3.54, 2 Pm 3.54-3.55
Tm 0.0000 0.0000 0.0000  6 Pm 3.54, 6 Er 3.54

---

# 7
The following is a DFT calculation (PBE) of MgZrZn2Pd2 after structural relaxation.

Output
formation energy: -276 kJ/mol of formula units
density of states at the Fermi level: 4.94 states/eV/f.u.

a = 4.4369 Å, b = 4.4369 Å, c = 5.9484 Å
α = 90.00°, β = 90.00°, γ = 120.00°
Last column: nearest neighbours and their distance in Å.
Positions (direct):
Mg 0.0000 0.0000 0.5000  6 Pd 2.91, 6 Zn 2.97, 2 Zr 2.97
Zr 0.0000 0.0000 0.0000  6 Zn 2.96, 2 Mg 2.97, 6 Pd 3.02
Zn 0.3333 0.6667 0.7522  4 Pd 2.56-2.87
Zn 0.6667 0.3333 0.2478  4 Pd 2.56-2.87
Pd 0.3333 0.6667 0.2696  4 Zn 2.56-2.87
Pd 0.6667 0.3333 0.7304  4 Zn 2.56-2.87

---

# 8
The following is a DFT calculation (PBE) of YAlF2 after structural relaxation.

Output
density of states at the Fermi level: 1.19 states/eV/f.u.
formation energy from raw total energies: -2.040 eV per atom

a = 7.6953 Å, b = 7.6953 Å, c = 7.6953 Å
α = 23.29°, β = 23.29°, γ = 23.29°
Last column: nearest neighbours and their distance in Å.
Positions (direct):
Y 0.5000 0.5000 0.5000  6 F 2.50
Al 0.0000 0.0000 0.0000  2 F 2.00
F 0.9110 0.9110 0.9110  1 Al 2.00
F 0.0890 0.0890 0.0890  1 Al 2.00